Crystalline PmPaP2N6 at its relaxed geometry, computed with PBE.

Summary:
Crystal system   monoclinic
Uncorrected formation energy   -0.8718 eV per atom

a b c (Å): 6.7899 6.7899 7.0382
angles (deg): 98.53 98.53 109.47
Element x y z (fractional)
1 Pm 0.0859 0.9141 0.7500
2 Pm 0.9141 0.0859 0.2500
3 Pa 0.4302 0.5698 0.2500
4 Pa 0.5698 0.4302 0.7500
5 P 0.0995 0.4193 0.7587
6 P 0.4193 0.0995 0.2587
7 P 0.5807 0.9005 0.7413
8 P 0.9005 0.5807 0.2413
9 N 0.0732 0.4736 0.2479
10 N 0.0911 0.2195 0.6094
11 N 0.2195 0.0911 0.1094
12 N 0.3185 0.5259 0.9199
13 N 0.4736 0.0732 0.7479
14 N 0.4741 0.6815 0.5801
15 N 0.5259 0.3185 0.4199
16 N 0.5264 0.9268 0.2521
17 N 0.6815 0.4741 0.0801
18 N 0.7805 0.9089 0.8906
19 N 0.9089 0.7805 0.3906
20 N 0.9268 0.5264 0.7521

=====

Crystalline PrPa3P4N12 at its relaxed geometry, computed with PBE.

Summary:
Crystal system   trigonal
Uncorrected formation energy   -0.8600 eV per atom

a b c (Å): 6.9349 6.9349 6.9349
angles (deg): 103.52 103.52 103.52
Element x y z (fractional)
1 Pr 0.0000 0.0000 0.0000
2 Pa 0.0000 0.5414 0.4586
3 Pa 0.4586 0.0000 0.5414
4 Pa 0.5414 0.4586 0.0000
5 P 0.0422 0.5000 0.9578
6 P 0.5000 0.5000 0.5000
7 P 0.5000 0.9578 0.0422
8 P 0.9578 0.0422 0.5000
9 N 0.0268 0.6389 0.8063
10 N 0.1045 0.8955 0.5000
11 N 0.1937 0.3611 0.9732
12 N 0.3530 0.6470 0.5000
13 N 0.3611 0.9732 0.1937
14 N 0.5000 0.1045 0.8955
15 N 0.5000 0.3530 0.6470
16 N 0.6389 0.8063 0.0268
17 N 0.6470 0.5000 0.3530
18 N 0.8063 0.0268 0.6389
19 N 0.8955 0.5000 0.1045
20 N 0.9732 0.1937 0.3611

=====

Crystalline Pa2PPtN5 at its relaxed geometry, computed with PBE.

Summary:
Crystal system   orthorhombic
Uncorrected formation energy   -0.6767 eV per atom

a b c (Å): 6.8260 6.8260 10.9272
angles (deg): 90.00 90.00 151.89
Element x y z (fractional)
1 Pa 0.1111 0.8889 0.5000
2 Pa 0.1741 0.8259 0.1696
3 Pa 0.8259 0.1741 0.6696
4 Pa 0.8889 0.1111 0.0000
5 P 0.4482 0.5518 0.2424
6 P 0.5518 0.4482 0.7424
7 Pt 0.2164 0.7836 0.8708
8 Pt 0.7836 0.2164 0.3708
9 N 0.0580 0.9420 0.8263
10 N 0.2780 0.7220 0.5479
11 N 0.3530 0.6470 0.1455
12 N 0.3717 0.6283 0.8637
13 N 0.4605 0.5395 0.6397
14 N 0.5395 0.4605 0.1397
15 N 0.6283 0.3717 0.3637
16 N 0.6470 0.3530 0.6455
17 N 0.7220 0.2780 0.0479
18 N 0.9420 0.0580 0.3263